The following is a PBE-GGA calculation of TbHoAl4Fe2 after structural relaxation, from the Open Quantum Materials Database.

```
8
Lattice="7.045 0.000 0.000 0.000 2.019 5.039 0.000 -2.019 5.039" Properties=species:S:1:pos:R:3 pbc="T T T"
Tb 0.000 0.000 0.000
Ho 3.522 0.000 8.828
Al 1.371 0.000 2.837
Al 2.166 0.000 5.992
Al 4.879 0.000 5.992
Al 5.674 0.000 2.837
Fe 0.000 0.000 7.303
Fe 3.522 0.000 1.529
```

The following is a PBE-GGA calculation of BaPPdO after structural relaxation, from the Open Quantum Materials Database.

```
8
Lattice="3.434 0.000 0.000 0.000 8.349 0.000 0.000 0.000 5.660" Properties=species:S:1:pos:R:3 pbc="T T T"
Ba 0.000 1.158 0.000
Ba 0.000 7.191 2.830
P 0.000 3.925 2.234
P 0.000 4.424 5.064
Pd 1.717 2.482 2.788
Pd 1.717 5.867 5.618
O 1.717 0.645 3.781
O 1.717 7.704 0.951
```

## Properties
ΔE to the lowest computed polymorph   0.60 eV per formula unit

The following is a PBE-GGA calculation of HfZr2Hg after structural relaxation, from the Open Quantum Materials Database.

```
4
Lattice="0.000 3.504 3.504 3.504 0.000 3.504 3.504 3.504 0.000" Properties=species:S:1:pos:R:3 pbc="T T T"
Hf 0.000 0.000 0.000
Zr 1.752 1.752 1.752
Zr 3.504 3.504 3.504
Hg 5.256 5.256 5.256
```

## Properties
E_form   1.5 kcal/mol of atoms

The following is a PBE-GGA calculation of SmBiOs after structural relaxation, from the Open Quantum Materials Database.

```
3
Lattice="0.000 3.471 3.471 3.471 0.000 3.471 3.471 3.471 0.000" Properties=species:S:1:pos:R:3 pbc="T T T"
Sm 0.000 0.000 0.000
Bi 5.207 5.207 5.207
Os 1.736 1.736 1.736
```

## Properties
ΔE to the lowest computed polymorph   2.38 eV per formula unit

The following is a PBE-GGA calculation of TmPbNO after structural relaxation, from the Open Quantum Materials Database.

```
8
Lattice="3.661 0.000 0.000 0.000 7.114 0.000 0.000 0.000 5.912" Properties=species:S:1:pos:R:3 pbc="T T T"
Tm 0.000 0.965 0.000
Tm 0.000 6.149 2.956
Pb 1.831 2.411 2.891
Pb 1.831 4.703 5.847
N 0.000 1.108 2.232
N 0.000 6.006 5.188
O 1.831 1.658 5.136
O 1.831 5.456 2.180
```

## Properties
ΔE to the lowest computed polymorph   0.54 eV per formula unit

The following is a PBE-GGA calculation of Al6Ni2Ge after structural relaxation, from the Open Quantum Materials Database.

```
9
Lattice="6.733 0.000 0.000 -3.367 5.831 0.000 0.000 0.000 3.447" Properties=species:S:1:pos:R:3 pbc="T T T"
Al -0.967 1.675 0.000
Al -2.031 3.519 1.724
Al 1.934 0.000 0.000
Al 1.335 2.313 1.724
Al 4.063 0.000 1.724
Al 2.400 4.156 0.000
Ni 0.000 3.887 0.000
Ni 3.367 1.944 0.000
Ge 0.000 0.000 1.724
```

The following is a PBE-GGA calculation of BeCoReGe after structural relaxation, from the Open Quantum Materials Database.

```
4
Lattice="0.000 2.882 2.882 2.882 0.000 2.882 2.882 2.882 0.000" Properties=species:S:1:pos:R:3 pbc="T T T"
Be 0.000 0.000 0.000
Co 4.323 4.323 4.323
Re 1.441 1.441 1.441
Ge 2.882 2.882 2.882
```

## Properties
ΔE to the lowest computed polymorph   0.00 eV per formula unit

The following is a PBE-GGA calculation of CuAsW4N2 after structural relaxation, from the Open Quantum Materials Database.

```
8
Lattice="2.891 0.000 0.000 -1.446 2.504 0.000 0.000 0.000 14.123" Properties=species:S:1:pos:R:3 pbc="T T T"
Cu 0.000 0.000 0.000
As 1.446 0.835 7.061
W 0.000 0.000 4.997
W 0.000 0.000 9.125
W 1.446 0.835 2.161
W 1.446 0.835 11.961
N 0.000 1.669 3.562
N 0.000 1.669 10.560
```

no.,VASP energy (eV per cell)
1,-43.7
2,-43.5
3,-27.1
4,-17.5
5,-54.1
6,-39.8
7,-27.5
8,-74.5